[1]
Crystalline ScAl6Zn at its relaxed geometry. Source: the Alexandria database, functional PBE.

Summary:
V: 17.73 Å³/atom
Crystal system: monoclinic
Energy of formation from the pure elements: -0.83 eV per formula unit
Space-group type: C2/m (12)

a = 5.3939 Å, b = 9.7009 Å, c = 5.5620 Å
α = 90.00°, β = 102.89°, γ = 90.00°
Last column: nearest neighbours and their distance in Å.
Fractional positions:
Sc 0.0000 0.0000 0.0000  2 Zn 2.78, 8 Al 2.94-3.10
Sc 0.5000 0.5000 0.0000  2 Zn 2.78, 8 Al 2.94-3.10
Al 0.0403 0.5000 0.2505  1 Zn 2.56, 5 Al 2.72-2.83
Al 0.1922 0.2519 0.7427  7 Al 2.70-3.02, 1 Zn 2.87
Al 0.1922 0.7481 0.7427  7 Al 2.70-3.02, 1 Zn 2.87
Al 0.3078 0.2481 0.2573  7 Al 2.70-3.02, 1 Zn 2.87
Al 0.3078 0.7519 0.2573  7 Al 2.70-3.02, 1 Zn 2.87
Al 0.4597 0.0000 0.7495  1 Zn 2.56, 5 Al 2.72-2.83
Al 0.5403 0.0000 0.2505  1 Zn 2.56, 5 Al 2.72-2.83
Al 0.6922 0.2481 0.7427  7 Al 2.70-3.02, 1 Zn 2.87
Al 0.6922 0.7519 0.7427  7 Al 2.70-3.02, 1 Zn 2.87
Al 0.8078 0.2519 0.2573  7 Al 2.70-3.02, 1 Zn 2.87
Al 0.8078 0.7481 0.2573  7 Al 2.70-3.02, 1 Zn 2.87
Al 0.9597 0.5000 0.7495  1 Zn 2.56, 5 Al 2.72-2.83
Zn 0.0000 0.0000 0.5000  2 Al 2.56, 2 Sc 2.78
Zn 0.5000 0.5000 0.5000  2 Al 2.56, 2 Sc 2.78

---

[2]
Crystalline Mg2UPt9 at its relaxed geometry. Source: the Alexandria database, functional PBE.

Summary:
V: 16.34 Å³/atom
Crystal system: tetragonal
Energy of formation from the pure elements: -8.07 eV per formula unit
Space-group type: P4/mmm (123)

a = 4.0423 Å, b = 4.0423 Å, c = 11.9967 Å
α = 90.00°, β = 90.00°, γ = 90.00°
Last column: nearest neighbours and their distance in Å.
Fractional positions:
Mg 0.0000 0.0000 0.1576  12 Pt 2.77-2.88
Mg 0.0000 0.0000 0.8424  12 Pt 2.77-2.88
U 0.0000 0.0000 0.5000  12 Pt 2.86-2.88
Pt 0.0000 0.5000 0.0000  4 Mg 2.77, 8 Pt 2.81-2.86
Pt 0.0000 0.5000 0.3286  8 Pt 2.84-2.88, 2 Mg 2.88, 2 U 2.88
Pt 0.0000 0.5000 0.6714  8 Pt 2.84-2.88, 2 Mg 2.88, 2 U 2.88
Pt 0.5000 0.0000 0.0000  4 Mg 2.77, 8 Pt 2.81-2.86
Pt 0.5000 0.0000 0.3286  8 Pt 2.84-2.88, 2 Mg 2.88, 2 U 2.88
Pt 0.5000 0.0000 0.6714  8 Pt 2.84-2.88, 2 Mg 2.88, 2 U 2.88
Pt 0.5000 0.5000 0.1627  8 Pt 2.81-2.84, 4 Mg 2.86
Pt 0.5000 0.5000 0.5000  4 U 2.86, 8 Pt 2.88
Pt 0.5000 0.5000 0.8373  8 Pt 2.81-2.84, 4 Mg 2.86

---

[3]
Crystalline K2Ge3Pt at its relaxed geometry. Source: the Alexandria database, functional PBE.

Summary:
V: 28.44 Å³/atom
Crystal system: orthorhombic
Energy of formation from the pure elements: -1.59 eV per formula unit
Space-group type: Fmmm (69)

a = 9.1617 Å, b = 8.5834 Å, c = 6.8575 Å
α = 71.80°, β = 62.88°, γ = 45.32°
Last column: nearest neighbours and their distance in Å.
Fractional positions:
K 0.2427 0.7573 0.2427  10 Ge 3.57-3.74, 2 Pt 3.59
K 0.2500 0.2500 0.2500  8 Ge 3.63, 4 Pt 3.65
K 0.7500 0.7500 0.7500  8 Ge 3.63, 4 Pt 3.65
K 0.7573 0.2427 0.7573  10 Ge 3.57-3.74, 2 Pt 3.59
Ge 0.1594 0.6705 0.8406  1 Pt 2.42, 2 Ge 2.53
Ge 0.3295 0.8406 0.6705  1 Pt 2.42, 2 Ge 2.53
Ge 0.3296 0.3296 0.6704  1 Pt 2.42, 2 Ge 2.53
Ge 0.6704 0.6704 0.3296  1 Pt 2.42, 2 Ge 2.53
Ge 0.6705 0.1594 0.3295  1 Pt 2.42, 2 Ge 2.53
Ge 0.8406 0.3295 0.1594  1 Pt 2.42, 2 Ge 2.53
Pt 0.1668 0.1668 0.8332  3 Ge 2.42
Pt 0.8332 0.8332 0.1668  3 Ge 2.42

---

[4]
Crystalline DyCd3Pd2 at its relaxed geometry. Source: the Alexandria database, functional PBE.

Summary:
V: 21.37 Å³/atom
Crystal system: monoclinic
Energy of formation from the pure elements: -2.80 eV per formula unit
Space-group type: C2/m (12)

a = 8.5842 Å, b = 8.5842 Å, c = 9.4989 Å
α = 123.47°, β = 123.47°, γ = 26.39°
Last column: nearest neighbours and their distance in Å.
Fractional positions:
Dy 0.1328 0.1328 0.1328  6 Pd 3.00-3.01, 2 Cd 3.33-3.34
Dy 0.8672 0.8672 0.8672  6 Pd 3.00-3.01, 2 Cd 3.33-3.34
Cd 0.0008 0.0008 0.6488  4 Pd 2.80-3.12, 3 Cd 2.81-3.13
Cd 0.3268 0.3268 0.1178  3 Pd 2.78-2.82, 2 Cd 2.99
Cd 0.3270 0.3270 0.5361  3 Pd 2.78-2.81, 2 Cd 2.99
Cd 0.6730 0.6730 0.4639  3 Pd 2.78-2.81, 2 Cd 2.99
Cd 0.6732 0.6732 0.8822  3 Pd 2.78-2.82, 2 Cd 2.99
Cd 0.9992 0.9992 0.3512  4 Pd 2.80-3.12, 3 Cd 2.81-3.13
Pd 0.2010 0.2010 0.7006  6 Cd 2.81-3.12, 2 Dy 3.01
Pd 0.5000 0.5000 0.1412  1 Pd 2.68, 4 Cd 2.78-2.80, 4 Dy 3.00
Pd 0.5000 0.5000 0.8588  1 Pd 2.68, 4 Cd 2.78-2.80, 4 Dy 3.00
Pd 0.7990 0.7990 0.2994  6 Cd 2.81-3.12, 2 Dy 3.01

---

Table of density of states at the Fermi level (states/eV/cell), in record order: 4.614, 13.695, 2.811, 6.266